Entry from the Alexandria database: an optimized crystal structure of ThAs2Pt (PBE). Values from VASP.

Structure (Quantum ESPRESSO input):
```
&SYSTEM
  ibrav = 0, nat = 4, ntyp = 3
/
ATOMIC_SPECIES
Th 232.04 Th.upf
As 74.92 As.upf
Pt 195.08 Pt.upf
CELL_PARAMETERS angstrom
2.6240 1.5150 3.5688
-2.6240 1.5150 3.5688
0.0000 -3.0300 3.5688
ATOMIC_POSITIONS angstrom
Th 0.0000 0.0000 0.0000
As 0.0000 0.0000 2.8955
As 0.0000 0.0000 7.8108
Pt 0.0000 0.0000 5.3532
```

Results
final energy: -25.4 eV/f.u.
M_tot: 0.000 μB/atom